Entry 1:
# PBE As2RhCl, relaxed
data_As2RhCl
_chemical_formula_sum 'As2 Rh1 Cl1'
_cell_length_a 3.323
_cell_length_b 3.323
_cell_length_c 7.108
_cell_angle_alpha 90.00
_cell_angle_beta 90.00
_cell_angle_gamma 90.00
_space_group_name_H-M_alt 'P 4 m m'
_space_group_IT_number 99
_space_group_name_Hall 'P 4 -2'
loop_
_atom_site_label
_atom_site_type_symbol
_atom_site_fract_x
_atom_site_fract_y
_atom_site_fract_z
As1 As 0.000 0.000 0.000
As2 As 0.500 0.500 0.213
Rh1 Rh 0.500 0.500 0.852
Cl1 Cl 0.000 0.000 0.596
# offset from the most stable computed form	318	meV per atom
# formation energy from raw total energies	0.026	eV per atom
# N(E_F)	0.74	states/eV/atom
# electronic total energy	-4.598	eV/atom

Entry 2:
# PBE As4RhCl, relaxed
data_As4RhCl
_chemical_formula_sum 'As16 Rh4 Cl4'
_cell_length_a 7.845
_cell_length_b 7.845
_cell_length_c 7.845
_cell_angle_alpha 90.00
_cell_angle_beta 90.00
_cell_angle_gamma 90.00
_space_group_name_H-M_alt 'F -4 3 m'
_space_group_IT_number 216
_space_group_name_Hall 'F -4 2 3'
loop_
_atom_site_label
_atom_site_type_symbol
_atom_site_fract_x
_atom_site_fract_y
_atom_site_fract_z
As1 As 0.116 0.116 0.116
Rh1 Rh 0.000 0.000 0.500
Cl1 Cl 0.250 0.250 0.750
# formation energy from raw total energies	0.580	eV per atom
# N(E_F)	1.32	states/eV/atom
# electronic total energy	-4.053	eV/atom

Entry 3:
# PBE As2RhCl, relaxed
data_As2RhCl
_chemical_formula_sum 'As4 Rh2 Cl2'
_cell_length_a 4.940
_cell_length_b 4.940
_cell_length_c 5.597
_cell_angle_alpha 90.00
_cell_angle_beta 90.00
_cell_angle_gamma 90.00
_space_group_name_H-M_alt 'I 4/m m m'
_space_group_IT_number 139
_space_group_name_Hall '-I 4 2'
loop_
_atom_site_label
_atom_site_type_symbol
_atom_site_fract_x
_atom_site_fract_y
_atom_site_fract_z
As1 As 0.000 0.500 0.250
Rh1 Rh 0.000 0.000 0.000
Cl1 Cl 0.000 0.000 0.500
# offset from the most stable computed form	547	meV per atom
# formation energy from raw total energies	0.255	eV per atom
# N(E_F)	0.31	states/eV/atom
# electronic total energy	-4.369	eV/atom

Number 1: size of the total moment 0.0 μB per cell. Number 2: size of the total moment 0.0 μB per cell. Number 3: size of the total moment 0.0 μB per cell.